(1)
# ErMgSi2 (PBE, relaxed)
# - Space group: P4/mmm (123)
data_ErMgSi2
_space_group_name_H-M_alt 'P 1'
_space_group_IT_number 1
_cell_length_a 4.334
_cell_length_b 4.334
_cell_length_c 4.005
_cell_angle_alpha 90.00
_cell_angle_beta 90.00
_cell_angle_gamma 90.00
loop_
_space_group_symop_operation_xyz
'x,y,z'
loop_
_atom_site_label
_atom_site_type_symbol
_atom_site_fract_x
_atom_site_fract_y
_atom_site_fract_z
_atom_site_occupancy
Er1 Er 0.000 0.000 0.000 1
Mg1 Mg 0.500 0.500 0.000 1
Si1 Si 0.000 0.500 0.500 1
Si2 Si 0.500 0.000 0.500 1

(2)
# ErMgSi2 (PBE, relaxed)
# - Space group: Pnma (62)
data_ErMgSi2
_space_group_name_H-M_alt 'P 1'
_space_group_IT_number 1
_cell_length_a 7.903
_cell_length_b 3.724
_cell_length_c 10.630
_cell_angle_alpha 90.00
_cell_angle_beta 90.00
_cell_angle_gamma 90.00
loop_
_space_group_symop_operation_xyz
'x,y,z'
loop_
_atom_site_label
_atom_site_type_symbol
_atom_site_fract_x
_atom_site_fract_y
_atom_site_fract_z
_atom_site_occupancy
Er1 Er 0.129 0.250 0.147 1
Er2 Er 0.371 0.750 0.647 1
Er3 Er 0.629 0.250 0.353 1
Er4 Er 0.871 0.750 0.853 1
Mg1 Mg 0.005 0.750 0.392 1
Mg2 Mg 0.495 0.250 0.892 1
Mg3 Mg 0.505 0.750 0.108 1
Mg4 Mg 0.995 0.250 0.608 1
Si1 Si 0.162 0.250 0.817 1
Si2 Si 0.244 0.750 0.946 1
Si3 Si 0.256 0.250 0.446 1
Si4 Si 0.338 0.750 0.317 1
Si5 Si 0.662 0.250 0.683 1
Si6 Si 0.744 0.750 0.554 1
Si7 Si 0.756 0.250 0.054 1
Si8 Si 0.838 0.750 0.183 1

(3)
# ErMgSi2 (PBE, relaxed)
# - Space group: R-3m (166)
data_ErMgSi2
_space_group_name_H-M_alt 'P 1'
_space_group_IT_number 1
_cell_length_a 9.027
_cell_length_b 9.027
_cell_length_c 9.027
_cell_angle_alpha 20.73
_cell_angle_beta 20.73
_cell_angle_gamma 20.73
loop_
_space_group_symop_operation_xyz
'x,y,z'
loop_
_atom_site_label
_atom_site_type_symbol
_atom_site_fract_x
_atom_site_fract_y
_atom_site_fract_z
_atom_site_occupancy
Er1 Er 0.000 0.000 0.000 1
Mg1 Mg 0.500 0.500 0.500 1
Si1 Si 0.246 0.246 0.246 1
Si2 Si 0.754 0.754 0.754 1

(4)
# ErMgZnSi (PBE, relaxed)
# - Space group: F-43m (216)
data_ErMgZnSi
_space_group_name_H-M_alt 'P 1'
_space_group_IT_number 1
_cell_length_a 4.796
_cell_length_b 4.796
_cell_length_c 4.796
_cell_angle_alpha 60.00
_cell_angle_beta 60.00
_cell_angle_gamma 60.00
loop_
_space_group_symop_operation_xyz
'x,y,z'
loop_
_atom_site_label
_atom_site_type_symbol
_atom_site_fract_x
_atom_site_fract_y
_atom_site_fract_z
_atom_site_occupancy
Er1 Er 0.000 0.000 0.000 1
Mg1 Mg 0.500 0.500 0.500 1
Zn1 Zn 0.750 0.750 0.750 1
Si1 Si 0.250 0.250 0.250 1

no.,uncorrected formation energy (eV per formula unit),density of states at the Fermi level (states/eV/cell),total DFT energy (no corrections) (eV/f.u.)
1,-1.27,1.825,-18.28
2,-1.64,6.202,-18.64
3,-0.12,1.590,-17.12
4,-0.97,2.875,-13.82